Below is a relaxed structure of LaCeNd6Dy2, with properties calculated at the PBE level.

E_form: 0.23 eV per atom

Cell lengths 6.671, 6.671, 9.018 Å; angles 100.94, 100.94, 62.90 degrees
Sites, in units of the cell vectors:
La (0.000, 0.000, 0.000)
Ce (0.500, 0.500, 0.500)
Nd (0.067, 0.595, 0.698)
Nd (0.369, 0.369, 0.082)
Nd (0.405, 0.933, 0.302)
Nd (0.595, 0.067, 0.698)
Nd (0.631, 0.631, 0.918)
Nd (0.933, 0.405, 0.302)
Dy (0.093, 0.093, 0.657)
Dy (0.907, 0.907, 0.343)